The following is a GGA-PBEsol calculation of crystalline Sr2BeTe at its relaxed geometry, from Alexandria.

Cell: 3.9784 3.9784 7.4227 Å, 90.00 90.00 90.00°
With the nearest neighbours (Å) after each atom.
Element x y z (fractional)
1 Sr 0.0000 0.0000 0.2423  4 Be 3.34, 4 Te 3.40, 1 Sr 3.60
2 Sr 0.0000 0.0000 0.7577  4 Be 3.34, 4 Te 3.40, 1 Sr 3.60
3 Be 0.5000 0.5000 0.0000  8 Sr 3.34, 2 Te 3.71
4 Te 0.5000 0.5000 0.5000  8 Sr 3.40, 2 Be 3.71

Results
The calculation puts the final energy at -3.24 eV/atom. Its formation energy without anion corrections is -438 meV/atom. Its distance to the lowest polymorph of the same formula is 0 meV/atom. The value obtained for the total magnetization is 0.00 μB per atom.

The following is a GGA-PBEsol calculation of crystalline SrBe2Te at its relaxed geometry, from Alexandria.

Cell: 6.5668 6.5668 6.5668 Å, 146.50 145.51 48.85°
With the nearest neighbours (Å) after each atom.
Element x y z (fractional)
1 Sr 0.0000 0.0000 0.0000  6 Be 3.12-3.15, 2 Te 3.39
2 Be 0.3719 0.3719 0.0000  2 Be 2.18
3 Be 0.7891 0.2891 0.5000  2 Be 2.18
4 Te 0.2350 0.7350 0.5000  6 Be 2.50-2.79

Results
The calculation puts the final energy at -3.25 eV/atom. Its formation energy without anion corrections is 91 meV/atom. The value obtained for the total magnetization is 0.00 μB per atom.

formation energy without anion corrections of number 1 (Sr2BeTe)? -438 meV/atom

Look up the formation energy without anion corrections of the first one. -438 meV/atom